1.
# Dy3YRh

A relaxed Dy3YRh crystal (PBE-GGA, Alexandria via LeMat-Bulk).

Cell: 6.2883 6.2883 13.6920 Å, 114.01 114.01 34.77°
Element x y z (fractional)
Dy (0.0000, 0.0000, 0.0000)
Dy (0.0132, 0.0132, 0.3632)
Dy (0.3448, 0.3448, 0.4744)
Dy (0.4533, 0.4533, 0.7539)
Dy (0.6603, 0.6603, 0.2390)
Dy (0.6750, 0.6750, 0.6005)
Y (0.2219, 0.2219, 0.8455)
Y (0.3292, 0.3292, 0.1261)
Rh (0.0124, 0.0124, 0.6284)
Rh (0.6578, 0.6578, 0.9693)

Computed properties:
The value obtained for the density of states at the Fermi level is 5.9 states/eV/f.u. The crystal system is monoclinic. The value obtained for the uncorrected energy is -5.909 eV per atom. The calculation puts the distance to the lowest polymorph of the same formula at 0 meV per atom. As for the total magnetization: 0.00 μB per formula unit.

=====

2.
# LiYTlCl5

A relaxed LiYTlCl5 crystal (PBE-GGA, Alexandria via LeMat-Bulk).

Cell: 7.5095 7.5095 10.0232 Å, 103.74 103.74 107.26°
Element x y z (fractional)
Li (0.1908, 0.8092, 0.7500)
Li (0.8092, 0.1908, 0.2500)
Y (0.5000, 0.5000, 0.0000)
Y (0.5000, 0.5000, 0.5000)
Tl (0.1493, 0.8507, 0.2500)
Tl (0.8507, 0.1493, 0.7500)
Cl (0.1277, 0.2581, 0.4235)
Cl (0.1951, 0.5910, 0.8895)
Cl (0.2581, 0.1277, 0.9235)
Cl (0.4090, 0.8049, 0.6105)
Cl (0.4224, 0.5776, 0.2500)
Cl (0.5776, 0.4224, 0.7500)
Cl (0.5910, 0.1951, 0.3895)
Cl (0.7419, 0.8723, 0.0765)
Cl (0.8049, 0.4090, 0.1105)
Cl (0.8723, 0.7419, 0.5765)

Computed properties:
The value obtained for the density of states at the Fermi level is 0.0 states/eV/f.u. The crystal system is monoclinic. The value obtained for the uncorrected energy is -4.359 eV per atom. As for the total magnetization: 0.00 μB per formula unit.

=====

3.
# Sc2SbAs

A relaxed Sc2SbAs crystal (PBE-GGA, Alexandria via LeMat-Bulk).

Cell: 3.4006 3.4006 7.4292 Å, 90.00 90.00 90.00°
Element x y z (fractional)
Sc (0.0000, 0.0000, 0.2151)
Sc (0.0000, 0.0000, 0.7849)
Sb (0.5000, 0.5000, 0.5000)
As (0.5000, 0.5000, 0.0000)

Computed properties:
The value obtained for the density of states at the Fermi level is 3.0 states/eV/f.u. The crystal system is tetragonal. The value obtained for the uncorrected energy is -6.141 eV per atom. As for the total magnetization: 0.01 μB per formula unit.

=====

- Number 1 is which compound?
  Dy3YRh

=====

- What is the formula in the second record?
  LiYTlCl5